Material: Sr2HfAgS5
Method: DFT, PBE-GGA
State: relaxed

Computed properties:
For the total DFT energy (no corrections), the calculation gives -5.502 eV/atom. For the formation energy from raw total energies, the calculation gives -1413 meV per atom.

a = 3.857 Å, b = 9.015 Å, c = 12.376 Å
α = 90.00°, β = 90.00°, γ = 102.35°
Fractional coordinates of all 18 atoms:
Hf 0.789 0.577 0.514
Hf 0.211 0.423 0.014
S 0.496 0.992 0.766
S 0.700 0.400 0.874
S 0.647 0.294 0.505
S 0.353 0.706 0.005
S 0.285 0.569 0.654
S 0.066 0.132 0.061
S 0.715 0.431 0.154
S 0.934 0.868 0.561
S 0.504 0.008 0.266
S 0.300 0.600 0.374
Ag 0.539 0.079 0.949
Ag 0.461 0.921 0.449
Sr 0.888 0.775 0.188
Sr 0.112 0.225 0.688
Sr 0.128 0.257 0.312
Sr 0.872 0.743 0.812

Material: Ag3SnN
Method: DFT, PBE-GGA
State: relaxed

Computed properties:
For the total DFT energy (no corrections), the calculation gives -2.695 eV/atom. For the formation energy from raw total energies, the calculation gives 1481 meV per atom.

a = 5.337 Å, b = 5.337 Å, c = 5.337 Å
α = 90.00°, β = 90.00°, γ = 90.00°
Last column: magnetic moment on the atom in μB.
Fractional coordinates of all 5 atoms:
Ag 0.000 0.000 0.500  0.01
Ag 0.500 0.000 0.000  0.03
Ag 0.000 0.500 0.000  0.04
N 0.500 0.500 0.500  1.83
Sn 0.000 0.000 0.000  0.03

Material: CaTa3
Method: DFT, PBE-GGA
State: relaxed

Computed properties:
For the total DFT energy (no corrections), the calculation gives -8.808 eV/atom. For the formation energy, the calculation gives 2.33 eV per formula unit.

a = 5.152 Å, b = 5.152 Å, c = 6.064 Å
α = 88.20°, β = 88.20°, γ = 31.55°
Fractional coordinates of all 4 atoms:
Ta 0.244 0.244 0.289
Ta 0.756 0.756 0.711
Ta 0.500 0.500 0.500
Ca 0.000 0.000 0.000

Material: HfAgHg
Method: DFT, PBE-GGA
State: relaxed

Computed properties:
For the total DFT energy (no corrections), the calculation gives -4.336 eV/atom. For the formation energy, the calculation gives 0.10 eV per formula unit.

a = 3.119 Å, b = 3.119 Å, c = 6.599 Å
α = 103.67°, β = 103.67°, γ = 90.00°
Last column: magnetic moment on the atom in μB.
Fractional coordinates of all 3 atoms:
Hg 0.668 0.668 0.336  0.01
Ag 0.335 0.335 0.670  0.01
Hf 0.997 0.997 0.994  0.11

Material: I2F
Method: DFT, PBE-GGA
State: relaxed

Computed properties:
For the total DFT energy (no corrections), the calculation gives -2.241 eV/atom. For the formation energy from raw total energies, the calculation gives -583 meV per atom.

a = 4.869 Å, b = 5.329 Å, c = 9.191 Å
α = 93.40°, β = 91.60°, γ = 97.21°
Fractional coordinates of all 6 atoms:
I 0.000 0.000 0.500
I 0.789 0.687 0.234
I 0.000 0.000 0.000
I 0.211 0.313 0.766
F 0.284 0.758 0.534
F 0.716 0.242 0.466

Material: KCaIr2
Method: DFT, PBE-GGA
State: relaxed

Computed properties:
For the total DFT energy (no corrections), the calculation gives -4.606 eV/atom. For the formation energy, the calculation gives 2.40 eV per formula unit.

a = 5.459 Å, b = 5.459 Å, c = 3.100 Å
α = 90.00°, β = 90.00°, γ = 119.76°
Fractional coordinates of all 4 atoms:
Ca 0.000 0.500 0.500
Ir 0.000 0.000 0.000
Ir 0.500 0.500 0.000
K 0.500 0.000 0.500